Computed, not measured: CeMnAsO after structural relaxation at the PBE+U level of DFT. Values from VASP.

Summary:
Space-group type ... P4/nmm, No. 129
Fermi-level density of states ... 8.77 states/eV per cell
E ... -59.805 eV/cell

Geometry as Quantum ESPRESSO input:
```
&SYSTEM
  ibrav = 0, nat = 8, ntyp = 4
/
ATOMIC_SPECIES
As 74.92 As.upf
Ce 140.12 Ce.upf
O 16.00 O.upf
Mn 54.94 Mn.upf
ATOMIC_POSITIONS angstrom
As 0.000 2.033 2.755
As 2.033 0.000 6.177
Ce 2.033 0.000 1.201
Ce 0.000 2.033 7.731
O 2.033 2.033 0.000
O 0.000 0.000 0.000
Mn 2.033 2.033 4.466
Mn 0.000 0.000 4.466
CELL_PARAMETERS angstrom
4.065 0.000 0.000
0.000 4.065 0.000
0.000 0.000 8.931
```